VASP calculation (GGA-PBE) on UH8RuPt2 after structural relaxation.

Values from the calculation:
Total energy in eV/atom: -4.9367
Crystal system: trigonal

The structure in extended XYZ format:
```
12
Lattice="5.0615 0.0000 0.0000 -2.5307 4.3834 0.0000 0.0000 0.0000 5.2876" Properties=species:S:1:pos:R:3 pbc="T T T"
U 0.0000 0.0000 2.6438
H 3.6702 0.8033 0.7343
H 2.5307 2.7768 0.7343
H 1.3913 0.8033 0.7343
H 1.1394 3.5801 4.5533
H 0.0000 2.9223 1.6725
H 2.5308 1.4611 3.6151
H -1.1394 3.5801 4.5533
H 0.0000 1.6066 4.5533
Ru 0.0000 0.0000 0.0000
Pt 2.5308 1.4611 2.0034
Pt 0.0000 2.9223 3.2842
```